No. 1
A plane-wave DFT calculation with PBE-GGA was carried out for Sm3Se2O2 after structural relaxation.

Values from the calculation:
Final energy = -7.038 eV per atom
ΔE_f (raw) = -2603 meV/atom
SG = C2/m

Unit cell a=3.9196 b=7.9042 c=10.1716 alpha=78.43 beta=78.89 gamma=75.64
Last column: nearest neighbours and their distance in Å.
Fractional positions:
Se: 0.6060 0.7573 0.0307  6 Sm 3.11-3.26
Se: 0.2573 0.1357 0.3497  6 Sm 2.91-3.06
Se: 0.3940 0.2427 0.9693  6 Sm 3.11-3.26
Se: 0.7427 0.8643 0.6503  6 Sm 2.91-3.06
Sm: 0.4026 0.7383 0.4565  4 O 2.32-2.35
Sm: 0.1330 0.5150 0.2189  3 O 2.31-2.37
Sm: 0.5974 0.2617 0.5435  4 O 2.32-2.35
Sm: 0.8670 0.4850 0.7811  3 O 2.31-2.37
Sm: 0.9068 0.0180 0.1684  1 O 2.30
Sm: 0.0932 0.9820 0.8316  1 O 2.30
O: 0.4209 0.5129 0.6453  4 Sm 2.32-2.37
O: 0.5791 0.4871 0.3547  4 Sm 2.32-2.37
O: 0.9565 0.7624 0.3247  4 Sm 2.30-2.35
O: 0.0435 0.2376 0.6753  4 Sm 2.30-2.35

=====

No. 2
A plane-wave DFT calculation with PBE-GGA was carried out for Li2GaHPb after structural relaxation.

Values from the calculation:
Final energy = -2.928 eV per atom
Excess energy over the best structure of this formula in the dataset = 0 kJ/mol of formula units
SG = P4/mmm

Unit cell a=4.2195 b=4.2195 c=4.5145 alpha=90.00 beta=90.00 gamma=90.00
Last column: nearest neighbours and their distance in Å.
Fractional positions:
H: 0.0000 0.0000 0.0000  4 Li 2.11, 2 Ga 2.26
Ga: 0.0000 0.0000 0.5000  2 H 2.26
Li: 0.5000 0.0000 0.0000  2 H 2.11
Li: 0.0000 0.5000 0.0000  2 H 2.11
Pb: 0.5000 0.5000 0.5000  4 Ga 2.98, 8 Li 3.09

=====

No. 3
A plane-wave DFT calculation with PBE-GGA was carried out for Y3MnS6 after structural relaxation.

Values from the calculation:
Final energy = -6.969 eV per atom
ΔE_f (raw) = -1636 meV/atom
SG = Cmc2_1

Unit cell a=6.5353 b=8.4802 c=8.4802 alpha=102.28 beta=90.00 gamma=90.00
Last column: nearest neighbours and their distance in Å.
Fractional positions:
S: 0.6729 0.9600 0.0400  1 Mn 2.33
S: 0.6693 0.2193 0.7807  1 Mn 2.31
S: 0.6875 0.3089 0.3659  4 Y 2.69-2.78
S: 0.1875 0.3659 0.3089  4 Y 2.69-2.78
S: 0.1875 0.6911 0.6341  4 Y 2.69-2.78
S: 0.1961 0.0997 0.5700  1 Mn 2.27
S: 0.6961 0.9003 0.4300  1 Mn 2.27
S: 0.1729 0.0400 0.9600  1 Mn 2.33
S: 0.1693 0.7807 0.2193  1 Mn 2.31
S: 0.6961 0.5700 0.0997  1 Mn 2.27
S: 0.6875 0.6341 0.6911  4 Y 2.69-2.78
S: 0.1961 0.4300 0.9003  1 Mn 2.27
Mn: 0.5205 0.8003 0.1997  4 S 2.27-2.33
Mn: 0.0205 0.1997 0.8003  4 S 2.27-2.33
Y: 0.9800 0.7177 0.9166  7 S 2.69-2.96
Y: 0.9800 0.0834 0.2823  7 S 2.69-2.96
Y: 0.4800 0.2823 0.0834  7 S 2.69-2.96
Y: 0.3955 0.4001 0.5999  7 S 2.74-2.98
Y: 0.8955 0.5999 0.4001  7 S 2.74-2.98
Y: 0.4800 0.9166 0.7177  7 S 2.69-2.96

=====

No. 4
A plane-wave DFT calculation with PBE-GGA was carried out for BiRhO2 after structural relaxation.

Values from the calculation:
Final energy = -5.641 eV per atom
ΔE_f (raw) = -354 meV/atom
SG = I-42d

Unit cell a=4.2787 b=4.2787 c=7.3245 alpha=73.02 beta=73.02 gamma=90.00
Last column: nearest neighbours and their distance in Å.
Fractional positions:
O: 0.8750 0.8136 0.7500  2 Rh 2.14, 2 Bi 2.39
O: 0.5636 0.1250 0.2500  2 Rh 2.14, 2 Bi 2.39
O: 0.3750 0.4364 0.7500  2 Rh 2.14, 2 Bi 2.39
O: 0.1864 0.6250 0.2500  2 Rh 2.14, 2 Bi 2.39
Bi: 0.7500 0.2500 0.5000  4 O 2.39
Bi: 0.0000 0.0000 0.0000  4 O 2.39
Rh: 0.5000 0.5000 0.0000  4 O 2.14
Rh: 0.2500 0.7500 0.5000  4 O 2.14

=====

No. 5
A plane-wave DFT calculation with PBE-GGA was carried out for Sr4I5N after structural relaxation.

Values from the calculation:
Final energy = -3.675 eV per atom
ΔE_f (raw) = -1394 meV/atom
SG = C2/m

Unit cell a=4.4194 b=9.0102 c=10.1846 alpha=102.85 beta=102.53 gamma=90.00
Last column: nearest neighbours and their distance in Å.
Fractional positions:
Sr: 0.0005 0.7931 0.0010  2 N 2.89
Sr: 0.3637 0.9289 0.7274  1 N 2.64
Sr: 0.6363 0.0711 0.2726  1 N 2.64
Sr: 0.9995 0.2069 0.9990  2 N 2.89
N: 0.5000 0.0000 0.0000  6 Sr 2.64-2.89
I: 0.5000 0.5000 0.0000  4 Sr 3.44
I: 0.1699 0.8282 0.3397  3 Sr 3.28-3.31
I: 0.8341 0.6602 0.6682  3 Sr 3.23-3.25
I: 0.1659 0.3398 0.3318  3 Sr 3.23-3.25
I: 0.8301 0.1718 0.6603  3 Sr 3.28-3.31

=====

No. 6
A plane-wave DFT calculation with PBE-GGA was carried out for KCd2Hg after structural relaxation.

Values from the calculation:
Final energy = -0.806 eV per atom
SG = C2/m

Unit cell a=6.0079 b=6.8794 c=3.2682 alpha=77.97 beta=86.19 gamma=114.89
Last column: nearest neighbours and their distance in Å.
Fractional positions:
K: 0.5000 0.5000 0.0000  2 K 3.27, 4 Hg 3.32-3.51, 4 Cd 3.49
Cd: 0.5000 0.0000 0.5000  6 Cd 3.27-3.51, 2 K 3.49, 2 Hg 3.49
Cd: 0.0000 0.0000 0.0000  6 Cd 3.27-3.51, 2 Hg 3.49, 2 K 3.49
Hg: 0.0000 0.5000 0.5000  2 Hg 3.27, 4 K 3.32-3.51, 4 Cd 3.49

=====

no.,total moment (μB/f.u.)
1,0.71
2,0.00
3,4.00
4,0.00
5,0.12
6,0.00